Computed, not measured: an optimized crystal structure of Cr2BF at the PBE with a Hubbard U level of DFT.

POSCAR file:
```
Cr2BF
1.0
-2.909 2.909 3.278
2.909 -2.909 3.278
2.909 2.909 -3.278
Cr B F
4 2 2
direct
0.119 0.125 0.494
0.375 0.881 0.006
0.631 0.625 0.506
0.875 0.369 0.994
0.000 0.000 0.000
0.750 0.250 0.500
0.250 0.750 0.500
0.500 0.500 0.000
```

Properties
Space-group type: I-42d, No. 122
E above lowest polymorph, meV/atom: 0